VASP calculation (SCAN) on Ni3Ir at its PBEsol-relaxed geometry.

## Properties
DFT total energy ... -2.1928 Ry/atom
Total magnetic moment ... 0.00 μB per cell
E_form ... 0.071 eV per atom
Space group ... Pm-3m, No. 221

Lattice parameters (Å, degrees): 3.5646 3.5646 3.5646 90.00 90.00 90.00
Last column: nearest neighbours and their distance in Å.
Fractional positions:
Ni 0.0000 0.0000 0.5000  8 Ni 2.52, 4 Ir 2.52
Ni 0.0000 0.5000 0.0000  8 Ni 2.52, 4 Ir 2.52
Ni 0.5000 0.0000 0.0000  8 Ni 2.52, 4 Ir 2.52
Ir 0.5000 0.5000 0.5000  12 Ni 2.52



VASP calculation (SCAN) on V3Zn2O8 at its PBEsol-relaxed geometry.

## Properties
DFT total energy ... -0.8987 Ry/atom
E above lowest polymorph ... 34.8 kJ/mol of formula units
Total magnetic moment ... 3.00 μB per cell
Space group ... C2/m, No. 12

Lattice parameters (Å, degrees): 5.7382 5.7382 4.8918 100.62 100.62 59.47
Last column: nearest neighbours and their distance in Å.
Fractional positions:
V 0.0000 0.0000 0.0000  6 O 1.87-1.96
V 0.2678 0.7322 0.5000  6 O 1.86-1.99
V 0.7322 0.2678 0.5000  6 O 1.86-1.99
Zn 0.2847 0.2847 0.9029  5 O 1.95-2.10
Zn 0.7153 0.7153 0.0971  5 O 1.95-2.10
O 0.0991 0.0991 0.3696  3 V 1.87-1.99
O 0.1124 0.6523 0.1352  2 V 1.93-1.96, 2 Zn 2.03-2.10
O 0.3477 0.8876 0.8648  2 V 1.93-1.96, 2 Zn 2.03-2.10
O 0.3922 0.3922 0.6129  2 V 1.86, 1 Zn 1.95
O 0.6078 0.6078 0.3871  2 V 1.86, 1 Zn 1.95
O 0.6523 0.1124 0.1352  2 V 1.93-1.96, 2 Zn 2.03-2.10
O 0.8876 0.3477 0.8648  2 V 1.93-1.96, 2 Zn 2.03-2.10
O 0.9009 0.9009 0.6304  3 V 1.87-1.99



VASP calculation (SCAN) on Sr2PRh at its PBEsol-relaxed geometry.

## Properties
DFT total energy ... -1.6635 Ry/atom
Total magnetic moment ... 0.00 μB per cell
E_form ... -0.453 eV per atom
Space group ... P4/mmm, No. 123

Lattice parameters (Å, degrees): 4.7234 4.7234 4.0286 90.00 90.00 90.00
Last column: nearest neighbours and their distance in Å.
Fractional positions:
Sr 0.0000 0.5000 0.0000  4 Rh 3.10, 4 P 3.10, 4 Sr 3.34
Sr 0.5000 0.0000 0.0000  4 Rh 3.10, 4 P 3.10, 4 Sr 3.34
P 0.0000 0.0000 0.5000  8 Sr 3.10, 4 Rh 3.34
Rh 0.5000 0.5000 0.5000  8 Sr 3.10, 4 P 3.34



VASP calculation (SCAN) on Mg2ScRh at its PBEsol-relaxed geometry.

## Properties
DFT total energy ... -1.0742 Ry/atom
Total magnetic moment ... 0.72 μB per cell
E_form ... -0.126 eV per atom
Space group ... R-3m, No. 166

Lattice parameters (Å, degrees): 9.6289 9.6289 9.6289 18.05 18.05 18.05
Last column: nearest neighbours and their distance in Å.
Fractional positions:
Mg 0.2371 0.2371 0.2371  3 Rh 2.65
Mg 0.7629 0.7629 0.7629  3 Rh 2.65
Sc 0.0000 0.0000 0.0000  6 Sc 3.02, 6 Mg 3.24
Rh 0.5000 0.5000 0.5000  6 Mg 2.65



VASP calculation (SCAN) on Sr2TaMo at its PBEsol-relaxed geometry.

## Properties
DFT total energy ... -2.5894 Ry/atom
E above lowest polymorph ... 213.2 kJ/mol of formula units
Total magnetic moment ... 0.00 μB per cell
E_form ... 1.274 eV per atom
Space group ... C2/m, No. 12

Lattice parameters (Å, degrees): 6.1765 6.1765 2.8936 90.35 90.35 124.05
Last column: nearest neighbours and their distance in Å.
Fractional positions:
Sr 0.0000 0.5000 0.0000  4 Sr 2.89-2.90
Sr 0.5000 0.0000 0.0000  4 Sr 2.89-2.90
Ta 0.0000 0.0000 0.5000  2 Ta 2.89, 2 Mo 2.90
Mo 0.5000 0.5000 0.5000  2 Mo 2.89, 2 Ta 2.90



VASP calculation (SCAN) on CrAs2PPb at its PBEsol-relaxed geometry.

## Properties
DFT total energy ... -2.0717 Ry/atom
Total magnetic moment ... 4.28 μB per cell
E_form ... 0.802 eV per atom
Space group ... P4/mmm, No. 123

Lattice parameters (Å, degrees): 4.6883 4.6883 5.3628 90.00 90.00 90.00
Last column: nearest neighbours and their distance in Å.
Fractional positions:
Cr 0.0000 0.0000 0.0000  4 Pb 3.32, 8 As 3.56
As 0.0000 0.5000 0.5000  2 P 2.34
As 0.5000 0.0000 0.5000  2 P 2.34
P 0.5000 0.5000 0.5000  4 As 2.34
Pb 0.5000 0.5000 0.0000  2 P 2.68



VASP calculation (SCAN) on LiTiPt2W at its PBEsol-relaxed geometry.

## Properties
DFT total energy ... -3.3337 Ry/atom
Total magnetic moment ... 0.01 μB per cell
E_form ... 0.341 eV per atom
Space group ... P4/mmm, No. 123

Lattice parameters (Å, degrees): 4.0718 4.0718 4.3193 90.00 90.00 90.00
Last column: nearest neighbours and their distance in Å.
Fractional positions:
Li 0.0000 0.0000 0.0000  4 Pt 2.04, 2 W 2.16
Ti 0.5000 0.5000 0.5000  4 W 2.88, 8 Pt 2.97
Pt 0.0000 0.5000 0.0000  2 Li 2.04
Pt 0.5000 0.0000 0.0000  2 Li 2.04
W 0.0000 0.0000 0.5000  2 Li 2.16



VASP calculation (SCAN) on BeRhCl2 at its PBEsol-relaxed geometry.

## Properties
DFT total energy ... -1.0121 Ry/atom
E above lowest polymorph ... 21.1 kJ/mol of formula units
Total magnetic moment ... 1.01 μB per cell
Space group ... P4mm, No. 99

Lattice parameters (Å, degrees): 3.0479 3.0479 6.8992 90.00 90.00 90.00
Last column: nearest neighbours and their distance in Å.
Fractional positions:
Be 0.0000 0.0000 0.0000  4 Rh 2.36, 5 Cl 2.55-2.60
Rh 0.5000 0.5000 0.1389  1 Cl 2.32, 4 Be 2.36
Cl 0.0000 0.0000 0.3773  1 Be 2.60, 4 Rh 2.71
Cl 0.5000 0.5000 0.8020  1 Rh 2.32, 4 Be 2.55



VASP calculation (SCAN) on TaPbCl2 at its PBEsol-relaxed geometry.

## Properties
DFT total energy ... -2.8779 Ry/atom
Total magnetic moment ... 1.04 μB per cell
Space group ... Cmmm, No. 65

Lattice parameters (Å, degrees): 5.3191 5.3191 3.0490 90.00 90.00 110.07
Last column: nearest neighbours and their distance in Å.
Fractional positions:
Ta 0.0000 0.0000 0.0000  2 Pb 3.05, 2 Ta 3.05, 8 Cl 3.07
Pb 0.5000 0.5000 0.0000  2 Ta 3.05, 2 Pb 3.05, 8 Cl 3.07
Cl 0.0000 0.5000 0.5000  4 Cl 3.05, 4 Ta 3.07, 4 Pb 3.07
Cl 0.5000 0.0000 0.5000  4 Cl 3.05, 4 Ta 3.07, 4 Pb 3.07



VASP calculation (SCAN) on Ta2Te2O9 at its PBEsol-relaxed geometry.

## Properties
DFT total energy ... -1.6499 Ry/atom
Total magnetic moment ... 0.00 μB per cell
Space group ... P2_1/c, No. 14

Lattice parameters (Å, degrees): 7.0451 7.5802 14.8224 90.00 102.19 90.00
Last column: nearest neighbours and their distance in Å.
Fractional positions:
Ta 0.0567 0.1986 0.4319  6 O 1.90-2.05
Ta 0.0567 0.3014 0.9319  6 O 1.90-2.05
Ta 0.3649 0.0051 0.0983  6 O 1.90-2.10
Ta 0.3649 0.4949 0.5983  6 O 1.90-2.10
Ta 0.6351 0.5051 0.4017  6 O 1.90-2.10
Ta 0.6351 0.9949 0.9017  6 O 1.90-2.10
Ta 0.9433 0.6986 0.0681  6 O 1.90-2.05
Ta 0.9433 0.8014 0.5681  6 O 1.90-2.05
Te 0.1233 0.6350 0.3143  3 O 1.87-1.92
Te 0.1233 0.8650 0.8143  3 O 1.87-1.92
Te 0.4632 0.0706 0.3262  3 O 1.88-1.91
Te 0.4632 0.4294 0.8262  3 O 1.88-1.91
Te 0.5368 0.5706 0.1738  3 O 1.88-1.91
Te 0.5368 0.9294 0.6738  3 O 1.88-1.91
Te 0.8767 0.1350 0.1857  3 O 1.87-1.92
Te 0.8767 0.3650 0.6857  3 O 1.87-1.92
O 0.0000 0.0000 0.5000  2 Ta 1.90
O 0.0000 0.5000 0.0000  2 Ta 1.90
O 0.0963 0.5879 0.1874  1 Te 1.88, 1 Ta 2.05
O 0.0963 0.9121 0.6874  1 Te 1.88, 1 Ta 2.05
O 0.1131 0.1003 0.8520  1 Te 1.87, 1 Ta 2.02
O 0.1131 0.3997 0.3520  1 Te 1.87, 1 Ta 2.02
O 0.1795 0.6748 0.5544  2 Ta 1.91-1.97
O 0.1795 0.8252 0.0544  2 Ta 1.91-1.97
O 0.2030 0.1947 0.0428  2 Ta 1.91-1.92
O 0.2030 0.3053 0.5428  2 Ta 1.91-1.92
O 0.2630 0.0577 0.2171  1 Te 1.91, 1 Ta 2.08
O 0.2630 0.4423 0.7171  1 Te 1.91, 1 Ta 2.08
O 0.2908 0.0704 0.4085  1 Te 1.89, 1 Ta 2.01
O 0.2908 0.4296 0.9085  1 Te 1.89, 1 Ta 2.01
O 0.4007 0.6567 0.3309  1 Te 1.92, 1 Ta 2.10
O 0.4007 0.8433 0.8309  1 Te 1.92, 1 Ta 2.10
O 0.4798 0.1827 0.8226  1 Te 1.88, 1 Ta 2.01
O 0.4798 0.3173 0.3226  1 Te 1.88, 1 Ta 2.01
O 0.5000 0.0000 0.0000  2 Ta 1.90
O 0.5000 0.5000 0.5000  2 Ta 1.90
O 0.5202 0.6827 0.6774  1 Te 1.88, 1 Ta 2.01
O 0.5202 0.8173 0.1774  1 Te 1.88, 1 Ta 2.01
O 0.5993 0.1567 0.1691  1 Te 1.92, 1 Ta 2.10
O 0.5993 0.3433 0.6691  1 Te 1.92, 1 Ta 2.10
O 0.7092 0.5704 0.0915  1 Te 1.89, 1 Ta 2.01
O 0.7092 0.9296 0.5915  1 Te 1.89, 1 Ta 2.01
O 0.7370 0.5577 0.2829  1 Te 1.91, 1 Ta 2.08
O 0.7370 0.9423 0.7829  1 Te 1.91, 1 Ta 2.08
O 0.7970 0.6947 0.4572  2 Ta 1.91-1.92
O 0.7970 0.8053 0.9572  2 Ta 1.91-1.92
O 0.8205 0.1748 0.9456  2 Ta 1.91-1.97
O 0.8205 0.3252 0.4456  2 Ta 1.91-1.97
O 0.8869 0.6003 0.6480  1 Te 1.87, 1 Ta 2.02
O 0.8869 0.8997 0.1480  1 Te 1.87, 1 Ta 2.02
O 0.9037 0.0879 0.3126  1 Te 1.88, 1 Ta 2.05
O 0.9037 0.4121 0.8126  1 Te 1.88, 1 Ta 2.05



VASP calculation (SCAN) on MnZn2Pt at its PBEsol-relaxed geometry.

## Properties
DFT total energy ... -2.1553 Ry/atom
Total magnetic moment ... 4.06 μB per cell
E_form ... -0.454 eV per atom
Space group ... C2/m, No. 12

Lattice parameters (Å, degrees): 4.5712 4.5712 4.6161 99.88 99.88 35.76
Last column: nearest neighbours and their distance in Å.
Fractional positions:
Mn 0.0000 0.0000 0.0000  6 Zn 2.63-2.67, 4 Pt 2.70, 2 Mn 2.81
Zn 0.2491 0.2491 0.7509  3 Mn 2.63-2.67, 3 Pt 2.65-2.67, 6 Zn 2.69-2.81
Zn 0.7509 0.7509 0.2491  3 Mn 2.63-2.67, 3 Pt 2.65-2.67, 6 Zn 2.69-2.81
Pt 0.5000 0.5000 0.5000  6 Zn 2.65-2.67, 4 Mn 2.70, 2 Pt 2.81



VASP calculation (SCAN) on NiGeBH2 at its PBEsol-relaxed geometry.

## Properties
DFT total energy ... -0.6829 Ry/atom
Total magnetic moment ... 0.00 μB per cell
Space group ... P4/mmm, No. 123

Lattice parameters (Å, degrees): 3.1211 3.1211 4.8613 90.00 90.00 90.00
Last column: nearest neighbours and their distance in Å.
Fractional positions:
Ni 0.0000 0.0000 0.0000  4 H 1.56
Ge 0.0000 0.0000 0.5000  4 B 2.21, 2 Ni 2.43
B 0.5000 0.5000 0.5000  4 Ge 2.21
H 0.0000 0.5000 0.0000  2 Ni 1.56
H 0.5000 0.0000 0.0000  2 Ni 1.56